PaCrP2 (GGA-PBE, relaxed); SG = No. 123; electronic total energy = -7.810 eV per atom; DFT formation energy = -325 meV/atom; excess energy over the best structure of this formula in the dataset = 314 meV per atom; DOS at the Fermi energy = 1.40 states/eV/atom
1.0
-2.844 -0.491 1.175
1.257 -1.541 2.399
0.420 5.514 3.321
P Cr Pa
2 1 1
Direct
0.000 0.000 0.201
0.000 0.000 0.799
0.500 0.500 0.000
0.500 0.500 0.500